No. 1
{
  "formula": "Tb4Sm6Er",
  "functional": "PBE-GGA",
  "state": "relaxed",
  "lattice_angstrom": [[2.922, -4.825, 0.000], [2.922, 4.825, 0.000], [0.000, 0.000, 25.653]],
  "species": ["Tb", "Tb", "Tb", "Tb", "Tb", "Tb", "Tb", "Tb", "Sm", "Sm", "Sm", "Sm", "Sm", "Sm", "Sm", "Sm", "Sm", "Sm", "Sm", "Sm", "Er", "Er"],
  "fractional_positions": [[0.048, 0.952, 0.623], [0.048, 0.952, 0.877], [0.352, 0.648, 0.544], [0.352, 0.648, 0.956], [0.648, 0.352, 0.044], [0.648, 0.352, 0.456], [0.952, 0.048, 0.123], [0.952, 0.048, 0.377], [0.000, 0.000, 0.000], [0.000, 0.000, 0.500], [0.054, 0.946, 0.750], [0.296, 0.704, 0.104], [0.296, 0.704, 0.396], [0.381, 0.619, 0.683], [0.381, 0.619, 0.817], [0.619, 0.381, 0.183], [0.619, 0.381, 0.317], [0.704, 0.296, 0.604], [0.704, 0.296, 0.896], [0.946, 0.054, 0.250], [0.284, 0.716, 0.250], [0.716, 0.284, 0.750]],
  "total_magnetization_mub_per_cell": 0.00,
  "total_energy_ev_per_cell": -100.1,
  "vol_a3_per_cell": 723.3,
  "delta_e_f_ev_per_fu": 1.329,
  "e_above_lowest_polymorph_mev_per_atom": 0
}

---

No. 2
{
  "formula": "KTc2Ir",
  "functional": "PBE-GGA",
  "state": "relaxed",
  "lattice_angstrom": [[2.719, 0.000, 0.000], [0.000, 3.939, 0.000], [0.000, 0.000, 7.928]],
  "species": ["K", "Tc", "Tc", "Ir"],
  "fractional_positions": [[0.000, 0.000, 0.000], [0.500, 0.500, 0.345], [0.500, 0.500, 0.655], [0.000, 0.000, 0.500]],
  "total_magnetization_mub_per_cell": 1.31,
  "total_energy_ev_per_cell": -27.8,
  "vol_a3_per_cell": 84.9,
  "delta_e_f_ev_per_fu": 2.926,
  "e_above_lowest_polymorph_mev_per_atom": 129
}

---

No. 3
{
  "formula": "La2Si4Pt3Au",
  "functional": "PBE-GGA",
  "state": "relaxed",
  "lattice_angstrom": [[4.344, 0.000, 0.000], [0.000, 4.344, 0.000], [0.000, 0.000, 9.947]],
  "species": ["La", "La", "Si", "Si", "Si", "Si", "Pt", "Pt", "Pt", "Au"],
  "fractional_positions": [[0.000, 0.500, 0.245], [0.500, 0.000, 0.755], [0.000, 0.000, 0.000], [0.000, 0.500, 0.637], [0.500, 0.000, 0.363], [0.500, 0.500, 0.000], [0.000, 0.500, 0.883], [0.500, 0.000, 0.117], [0.500, 0.500, 0.500], [0.000, 0.000, 0.500]],
  "total_magnetization_mub_per_cell": 0.00,
  "total_energy_ev_per_cell": -63.2,
  "vol_a3_per_cell": 187.7,
  "raw_formation_energy_mev_per_atom": -1030
}

---

No. 4
{
  "formula": "Th3Al4Cu2",
  "functional": "PBE-GGA",
  "state": "relaxed",
  "lattice_angstrom": [[5.402, -2.247, 0.000], [5.402, 2.247, 0.000], [-2.604, 0.000, 8.204]],
  "species": ["Th", "Th", "Th", "Al", "Al", "Al", "Al", "Cu", "Cu"],
  "fractional_positions": [[0.000, 0.000, 0.000], [0.356, 0.356, 0.321], [0.644, 0.644, 0.679], [0.086, 0.086, 0.405], [0.279, 0.279, 0.934], [0.721, 0.721, 0.066], [0.914, 0.914, 0.595], [0.349, 0.349, 0.682], [0.651, 0.651, 0.318]],
  "total_magnetization_mub_per_cell": 0.00,
  "total_energy_ev_per_cell": -48.6,
  "vol_a3_per_cell": 199.1,
  "delta_e_f_ev_per_fu": -3.153
}